(1)
The following is a PBEsol calculation of a relaxed CsCdPH2 crystal, from Alexandria via LeMat-Bulk.

abc: 4.5115 4.5115 5.0164
angles: 90.00 90.00 90.00
Closest atoms and distances in Å follow each position.
Atoms (fractional coordinates):
P1 0.0000 0.0000 0.0000  4 H 2.26, 2 Cd 2.51
Cs1 0.5000 0.5000 0.5000  4 Cd 3.19, 8 H 3.37
Cd1 0.0000 0.0000 0.5000  2 P 2.51
H1 0.0000 0.5000 0.0000  2 P 2.26
H2 0.5000 0.0000 0.0000  2 P 2.26

Output
Total magnetization in Bohr magnetons per cell: 0.00
Calculated density in Mg/m³: 4.53
Uncorrected energy in eV/cell: -12.01

(2)
The following is a PBEsol calculation of a relaxed CsHf2Cd2 crystal, from Alexandria via LeMat-Bulk.

abc: 4.0805 4.0805 9.7271
angles: 102.11 102.11 90.00
Closest atoms and distances in Å follow each position.
Atoms (fractional coordinates):
Hf1 0.7500 0.2500 0.5000  4 Hf 2.89, 4 Cd 2.99
Hf2 0.2500 0.7500 0.5000  4 Hf 2.89, 4 Cd 2.99
Cd1 0.3680 0.3680 0.7360  4 Hf 2.99
Cd2 0.6320 0.6320 0.2640  4 Hf 2.99
Cs1 0.0000 0.0000 0.0000  8 Cd 3.79, 4 Cs 4.08

Output
Total magnetization in Bohr magnetons per cell: 0.00
E_form in kJ/mol of atoms: 50
Calculated density in Mg/m³: 7.67
Uncorrected energy in eV/cell: -21.77

(3)
The following is a PBEsol calculation of a relaxed CsHfCd2W crystal, from Alexandria via LeMat-Bulk.

abc: 4.9035 5.5220 5.5220
angles: 90.00 90.00 90.00
Closest atoms and distances in Å follow each position.
Atoms (fractional coordinates):
Cs1 0.5000 0.5000 0.5000  8 Cd 3.69, 4 Hf 3.90
W1 0.0000 0.0000 0.0000  2 Hf 2.45
Hf1 0.5000 0.0000 0.0000  2 W 2.45
Cd1 0.0000 0.5000 0.0000  2 W 2.76
Cd2 0.0000 0.0000 0.5000  2 W 2.76

Output
Total magnetization in Bohr magnetons per cell: 0.00
E_form in kJ/mol of atoms: 88
Calculated density in Mg/m³: 8.00
Uncorrected energy in eV/cell: -23.08